No. 1
Li2CaHf2 (GGA-PBE, relaxed); calculated volume = 22.789 Å³ per atom; energy of formation from the pure elements = 2.46 eV/f.u.; distance to the lowest polymorph of the same formula = 30 meV per atom
1.0
8.702 0.000 0.000
0.000 8.702 0.000
0.000 0.000 3.009
Ca Hf Li
2 4 4
Cartesian
0.000 0.000 0.000
4.351 4.351 0.000
1.103 5.454 1.505
5.454 7.599 1.505
7.599 3.248 1.505
3.248 1.103 1.505
2.886 7.238 0.000
7.238 5.816 0.000
5.816 1.465 0.000
1.465 2.886 0.000

No. 2
Li3CaHf (GGA-PBE, relaxed); calculated volume = 30.090 Å³ per atom; energy of formation from the pure elements = 4.86 eV/f.u.; distance to the lowest polymorph of the same formula = 0 meV per atom
1.0
-4.741 -1.825 1.575
1.912 -4.963 0.004
1.469 0.570 5.080
Ca Hf Li
1 1 3
Cartesian
-0.680 -3.109 3.330
0.000 0.000 0.000
0.956 -2.482 0.002
0.734 0.285 2.540
-2.370 -0.912 0.788

No. 3
Li2CaHfO4 (GGA-PBE, relaxed); ΔE_f (raw) = -2.761 eV/atom; calculated volume = 12.251 Å³ per atom
1.0
-3.886 -1.685 3.207
-2.609 -4.283 -1.011
0.687 -3.976 3.144
Li Ca Hf O
2 1 1 4
Cartesian
-1.452 -2.486 1.335
-4.356 -7.458 4.005
-2.609 -4.283 -1.011
-2.904 -4.972 2.670
-1.610 -3.531 3.044
-2.475 -5.666 0.874
-4.795 -4.414 2.623
-2.736 -6.278 4.140

No. 4
LiCaHf2Os (GGA-PBE, relaxed); calculated volume = 20.094 Å³ per atom; energy of formation from the pure elements = 4.09 eV/f.u.
1.0
4.843 0.000 0.000
0.000 4.283 0.000
0.000 0.000 4.843
Hf Ca Os Li
2 1 1 1
Cartesian
0.000 0.000 2.422
2.422 0.000 0.000
2.422 2.142 2.422
0.000 2.142 0.000
0.000 0.000 0.000

No. 5
Li2CaHfSe4 (GGA-PBE, relaxed); ΔE_f (raw) = -1.458 eV/atom; calculated volume = 22.168 Å³ per atom
1.0
3.951 0.000 0.000
0.000 6.969 0.168
0.000 -2.368 6.385
Li Ca Hf Se
2 1 1 4
Cartesian
1.975 -1.184 3.192
0.000 2.300 3.276
1.975 3.484 0.084
0.000 0.000 0.000
1.975 1.016 1.599
1.975 3.585 4.954
0.000 -0.199 4.826
0.000 4.800 1.727

No. 6
Li2CaHfTe4 (GGA-PBE, relaxed); ΔE_f (raw) = -0.997 eV/atom; calculated volume = 27.638 Å³ per atom
1.0
5.998 0.003 0.000
-0.003 5.998 0.000
-2.997 -3.000 6.147
Li Ca Hf Te
2 1 1 4
Cartesian
-0.001 2.999 3.073
0.000 0.000 0.000
2.997 3.000 0.000
2.999 0.002 3.073
2.999 0.002 5.928
2.999 0.002 0.219
2.997 3.000 3.161
0.000 0.000 2.985